[1]
A plane-wave DFT calculation with PBE-GGA was carried out for an optimized crystal structure of Li6CdAu5.

DFT formation energy: -0.507 eV/atom
total energy: -2.9057 eV/atom

Cell: 7.7505 7.7505 7.7505 Å, 146.53 132.41 59.43°
Fractional coordinates of all 12 atoms:
1 Li 0.0675 0.3272 0.7403
2 Li 0.2315 0.0000 0.2315
3 Li 0.4131 0.6728 0.7403
4 Li 0.5869 0.3272 0.2597
5 Li 0.7685 0.0000 0.7685
6 Li 0.9325 0.6728 0.2597
7 Cd 0.5000 0.5000 0.0000
8 Au 0.0000 0.5000 0.5000
9 Au 0.1687 0.1687 0.0000
10 Au 0.3405 0.8405 0.5000
11 Au 0.6595 0.1595 0.5000
12 Au 0.8313 0.8313 0.0000

[2]
A plane-wave DFT calculation with PBE-GGA was carried out for an optimized crystal structure of K4NaPu3O12.

energy relative to the elements, uncorrected: -2361.2 meV/atom
total energy: -7.7713 eV/atom

Cell: 7.4508 7.4508 7.4508 Å, 109.47 109.47 109.47°
Fractional coordinates of all 20 atoms:
1 K 0.0000 0.0000 0.5000
2 K 0.0000 0.5000 0.0000
3 K 0.5000 0.0000 0.0000
4 K 0.5000 0.5000 0.5000
5 Na 0.0000 0.0000 0.0000
6 Pu 0.0000 0.5000 0.5000
7 Pu 0.5000 0.0000 0.5000
8 Pu 0.5000 0.5000 0.0000
9 O 0.0000 0.2812 0.2812
10 O 0.0000 0.7188 0.7188
11 O 0.2500 0.5000 0.7500
12 O 0.2500 0.7500 0.5000
13 O 0.2812 0.0000 0.2812
14 O 0.2812 0.2812 0.0000
15 O 0.5000 0.2500 0.7500
16 O 0.5000 0.7500 0.2500
17 O 0.7188 0.0000 0.7188
18 O 0.7188 0.7188 0.0000
19 O 0.7500 0.2500 0.5000
20 O 0.7500 0.5000 0.2500

[3]
A plane-wave DFT calculation with PBE-GGA was carried out for an optimized crystal structure of RbTbTcN3.

energy relative to the elements, uncorrected: -448.5 meV/atom
total energy: -7.2719 eV/atom

Cell: 7.0543 7.0543 8.1289 Å, 103.70 103.70 31.97°
Fractional coordinates of all 12 atoms:
1 Rb 0.1415 0.1415 0.0713
2 Rb 0.8585 0.8585 0.9287
3 Tb 0.1615 0.1615 0.5683
4 Tb 0.8385 0.8385 0.4317
5 Tc 0.4978 0.4978 0.6648
6 Tc 0.5022 0.5022 0.3352
7 N 0.0120 0.0120 0.3353
8 N 0.3381 0.3381 0.6125
9 N 0.3667 0.3667 0.2259
10 N 0.6333 0.6333 0.7741
11 N 0.6619 0.6619 0.3875
12 N 0.9880 0.9880 0.6647

[4]
A plane-wave DFT calculation with PBE-GGA was carried out for an optimized crystal structure of Al2CuSi2.

energy relative to the elements, uncorrected: 273.5 meV/atom
total energy: -4.2120 eV/atom

Cell: 3.6446 3.6446 13.2399 Å, 90.00 90.00 90.00°
Fractional coordinates of all 10 atoms:
1 Al 0.2500 0.2500 0.1461
2 Al 0.2500 0.7500 0.5000
3 Al 0.7500 0.2500 0.5000
4 Al 0.7500 0.7500 0.8539
5 Cu 0.2500 0.2500 0.6383
6 Cu 0.7500 0.7500 0.3617
7 Si 0.2500 0.2500 0.3315
8 Si 0.2500 0.7500 0.0000
9 Si 0.7500 0.2500 0.0000
10 Si 0.7500 0.7500 0.6685

[5]
A plane-wave DFT calculation with PBE-GGA was carried out for an optimized crystal structure of CaY2Br2.

energy relative to the elements, uncorrected: -578.2 meV/atom
total energy: -4.2333 eV/atom

Cell: 8.6357 8.6357 3.6122 Å, 90.00 90.00 90.00°
Fractional coordinates of all 10 atoms:
1 Ca 0.0000 0.0000 0.0000
2 Ca 0.5000 0.5000 0.0000
3 Y 0.1630 0.3370 0.5000
4 Y 0.3370 0.8370 0.5000
5 Y 0.6630 0.1630 0.5000
6 Y 0.8370 0.6630 0.5000
7 Br 0.1343 0.6343 0.0000
8 Br 0.3657 0.1343 0.0000
9 Br 0.6343 0.8657 0.0000
10 Br 0.8657 0.3657 0.0000

[6]
A plane-wave DFT calculation with PBE-GGA was carried out for an optimized crystal structure of MgZn6Ga.

DFT formation energy: 0.056 eV/atom
total energy: -1.4774 eV/atom

Cell: 5.1106 5.1106 5.1106 Å, 90.00 90.00 90.00°
Fractional coordinates of all 8 atoms:
1 Mg 0.0000 0.0000 0.0000
2 Zn 0.0000 0.2492 0.5000
3 Zn 0.0000 0.7508 0.5000
4 Zn 0.2492 0.5000 0.0000
5 Zn 0.5000 0.0000 0.2492
6 Zn 0.5000 0.0000 0.7508
7 Zn 0.7508 0.5000 0.0000
8 Ga 0.5000 0.5000 0.5000

Look up the total energy of the third one.
-7.2719 eV/atom

What is the total energy in the fourth record?
-4.2120 eV/atom

Which of these has the lowest total energy?
K4NaPu3O12